No. 1
This record from the Alexandria database describes a relaxed structure of LiAl2Au4. The functional is GGA-PBE. Values from VASP.

```
&SYSTEM
  ibrav = 0, nat = 7, ntyp = 3
/
ATOMIC_SPECIES
Li 6.94 Li.upf
Al 26.98 Al.upf
Au 196.97 Au.upf
CELL_PARAMETERS angstrom
-3.166 3.166 3.029
3.166 -3.166 3.029
3.166 3.166 -3.029
ATOMIC_POSITIONS angstrom
Li 0.000 0.000 0.000
Al 3.166 0.000 0.000
Al 0.000 3.166 0.000
Au 1.583 1.583 -1.515
Au 1.583 -1.583 1.515
Au -1.583 1.583 1.515
Au 1.583 1.583 1.515
```

## Properties
- Symmetry: No. 139
- ΔH_f (0 K): -2.94 eV/f.u.
- E above lowest polymorph: 0.000 eV/atom
- V: 17.4 A^3/atom

---

No. 2
This record from the Alexandria database describes a relaxed structure of Dy2PuRu. The functional is GGA-PBE. Values from VASP.

```
&SYSTEM
  ibrav = 0, nat = 4, ntyp = 3
/
ATOMIC_SPECIES
Dy 162.50 Dy.upf
Pu 244.00 Pu.upf
Ru 101.07 Ru.upf
CELL_PARAMETERS angstrom
3.394 0.000 0.000
0.000 3.394 0.000
0.000 0.000 8.767
ATOMIC_POSITIONS angstrom
Dy 0.000 0.000 1.664
Dy 0.000 0.000 7.103
Pu 1.697 1.697 4.383
Ru 1.697 1.697 0.000
```

## Properties
- Symmetry: No. 123
- ΔH_f (0 K): -0.57 eV/f.u.
- E above lowest polymorph: 0.085 eV/atom
- V: 25.3 A^3/atom

---

No. 3
This record from the Alexandria database describes a relaxed structure of Rb2CdGeI6. The functional is GGA-PBE. Values from VASP.

```
&SYSTEM
  ibrav = 0, nat = 10, ntyp = 4
/
ATOMIC_SPECIES
Rb 85.47 Rb.upf
Cd 112.41 Cd.upf
Ge 72.64 Ge.upf
I 126.90 I.upf
CELL_PARAMETERS angstrom
0.000 5.984 5.984
5.984 0.000 5.984
5.984 5.984 0.000
ATOMIC_POSITIONS angstrom
Rb 2.992 2.992 2.992
Rb 8.976 8.976 8.976
Cd 0.000 0.000 0.000
Ge 5.984 5.984 5.984
I 5.984 5.984 3.006
I 5.984 3.006 5.984
I 8.962 5.984 5.984
I 3.006 5.984 5.984
I 5.984 8.962 5.984
I 5.984 5.984 8.962
```

## Properties
- Symmetry: No. 225
- E above lowest polymorph: 0.025 eV/atom
- V: 42.9 A^3/atom

---

No. 4
This record from the Alexandria database describes a relaxed structure of LaSmGe. The functional is GGA-PBE. Values from VASP.

```
&SYSTEM
  ibrav = 0, nat = 6, ntyp = 3
/
ATOMIC_SPECIES
La 138.91 La.upf
Sm 150.36 Sm.upf
Ge 72.64 Ge.upf
CELL_PARAMETERS angstrom
4.532 0.000 0.000
0.000 4.562 0.000
-0.005 0.000 8.423
ATOMIC_POSITIONS angstrom
La 1.129 1.140 1.172
La 3.397 3.421 7.251
Sm 1.130 3.421 4.352
Sm 3.396 1.140 4.071
Ge 1.132 1.140 6.423
Ge 3.394 3.421 2.000
```

## Properties
- Symmetry: No. 11
- ΔH_f (0 K): -1.79 eV/f.u.
- E above lowest polymorph: 0.003 eV/atom
- V: 29.0 A^3/atom